# Sb2WSe

An optimized crystal structure of Sb2WSe (PBE-GGA, Alexandria).

POSCAR file:
```
Sb2WSe
1.0
6.372 0.000 0.000
0.000 6.372 0.000
3.186 3.186 6.205
Sb W Se
4 2 2
Direct
0.375 0.337 0.750 Sb
0.087 0.625 0.250 Sb
0.663 0.125 0.250 Sb
0.875 0.913 0.750 Sb
0.750 0.250 0.500 W
0.000 0.000 0.000 W
0.500 0.500 0.000 Se
0.250 0.750 0.500 Se
```

**Total magnetization**: 0.00 μB per cell
**N(E_F)**: 4.8 states/eV/cell
**Uncorrected formation energy**: 0.792 eV per atom
**Volume**: 126.0 Å³/f.u.

---

# SbW2Se

An optimized crystal structure of SbW2Se (PBE-GGA, Alexandria).

POSCAR file:
```
SbW2Se
1.0
2.948 0.000 0.000
0.000 4.163 0.000
0.000 0.000 6.029
Se W Sb
1 2 1
Direct
0.500 0.500 0.824 Se
0.500 0.500 0.230 W
0.000 0.000 0.975 W
0.000 0.000 0.470 Sb
```

**Total magnetization**: 0.00 μB per cell
**N(E_F)**: 3.2 states/eV/cell
**Uncorrected formation energy**: 0.443 eV per atom
**Volume**: 74.0 Å³/f.u.
**Relative energy among the computed polymorphs**: 109 kJ/mol of formula units

---

# SbW2Se

An optimized crystal structure of SbW2Se (PBE-GGA, Alexandria).

POSCAR file:
```
SbW2Se
1.0
-2.783 5.153 0.022
-5.701 0.789 -1.083
4.112 -2.682 3.194
W Se Sb
2 1 1
Direct
0.786 0.286 0.500 W
0.023 0.023 0.000 W
0.217 0.717 0.500 Se
0.473 0.473 0.000 Sb
```

**Total magnetization**: 0.00 μB per cell
**N(E_F)**: 1.7 states/eV/cell
**Uncorrected formation energy**: 0.614 eV per atom
**Volume**: 72.2 Å³/f.u.
**Relative energy among the computed polymorphs**: 176 kJ/mol of formula units

---

# Sb2WSe

An optimized crystal structure of Sb2WSe (PBE-GGA, Alexandria).

POSCAR file:
```
Sb2WSe
1.0
-1.140 -2.893 0.567
0.141 -0.661 -3.087
8.503 -3.144 1.063
W Sb Se
1 2 1
Direct
0.500 0.500 0.730 W
0.500 0.500 0.252 Sb
0.000 0.000 0.942 Sb
0.000 0.000 0.576 Se
```

**Total magnetization**: 0.00 μB per cell
**N(E_F)**: 2.9 states/eV/cell
**Uncorrected formation energy**: 0.218 eV per atom
**Volume**: 91.2 Å³/f.u.

---

# SbW2Se

An optimized crystal structure of SbW2Se (PBE-GGA, Alexandria).

POSCAR file:
```
SbW2Se
1.0
-0.030 -3.594 -4.093
4.541 -3.002 -0.202
-4.454 1.350 2.830
Sb W Se
1 2 1
Direct
0.750 0.250 0.500 Sb
0.473 0.473 0.000 W
0.027 0.027 0.000 W
0.250 0.750 0.500 Se
```

**Total magnetization**: 0.00 μB per cell
**N(E_F)**: 4.8 states/eV/cell
**Uncorrected formation energy**: 0.894 eV per atom
**Volume**: 72.8 Å³/f.u.
**Relative energy among the computed polymorphs**: 283 kJ/mol of formula units

---

# Sb2WSe

An optimized crystal structure of Sb2WSe (PBE-GGA, Alexandria).

POSCAR file:
```
Sb2WSe
1.0
5.212 0.000 0.000
1.345 5.036 0.000
-3.279 -2.518 3.175
W Sb Se
1 2 1
Direct
0.750 0.250 0.500 W
0.000 0.000 0.000 Sb
0.500 0.500 0.000 Sb
0.250 0.750 0.500 Se
```

**Total magnetization**: 0.42 μB per cell
**N(E_F)**: 4.3 states/eV/cell
**Uncorrected formation energy**: 0.734 eV per atom
**Volume**: 83.3 Å³/f.u.

---

# Sb2WSe

An optimized crystal structure of Sb2WSe (PBE-GGA, Alexandria).

POSCAR file:
```
Sb2WSe
1.0
2.998 -0.003 0.000
-0.833 2.880 0.000
0.000 0.000 10.736
Se Sb W
1 2 1
Direct
0.500 0.500 0.250 Se
0.000 0.000 0.956 Sb
0.000 0.000 0.544 Sb
0.500 0.500 0.750 W
```

**Total magnetization**: 0.00 μB per cell
**N(E_F)**: 2.8 states/eV/cell
**Uncorrected formation energy**: 0.517 eV per atom
**Volume**: 92.7 Å³/f.u.

---

# Sb2WSe

An optimized crystal structure of Sb2WSe (PBE-GGA, Alexandria).

POSCAR file:
```
Sb2WSe
1.0
-0.590 -8.759 -0.602
2.819 -8.321 -0.497
1.005 -8.400 2.423
Se Sb W
1 2 1
Direct
0.250 0.250 0.250 Se
0.007 0.007 0.007 Sb
0.493 0.493 0.493 Sb
0.750 0.750 0.750 W
```

**Total magnetization**: 0.00 μB per cell
**N(E_F)**: 2.5 states/eV/cell
**Uncorrected formation energy**: 0.390 eV per atom
**Volume**: 87.8 Å³/f.u.

---

# SbWSe3

An optimized crystal structure of SbWSe3 (PBE-GGA, Alexandria).

POSCAR file:
```
SbWSe3
1.0
-2.438 4.319 -0.066
-2.061 -1.230 -4.341
-3.796 -2.106 2.399
W Se Sb
1 3 1
Direct
0.000 0.000 0.000 W
0.500 0.000 0.000 Se
0.000 0.000 0.500 Se
0.000 0.500 0.000 Se
0.500 0.500 0.500 Sb
```

**Total magnetization**: 0.00 μB per cell
**N(E_F)**: 4.3 states/eV/cell
**Uncorrected formation energy**: 0.378 eV per atom
**Volume**: 122.0 Å³/f.u.
**Relative energy among the computed polymorphs**: 0 kJ/mol of formula units

---

# SbW2Se

An optimized crystal structure of SbW2Se (PBE-GGA, Alexandria).

POSCAR file:
```
SbW2Se
1.0
-2.061 4.740 -6.905
-4.455 5.406 -5.033
-1.781 6.972 -4.756
Se W Sb
1 2 1
Direct
0.750 0.750 0.750 Se
0.495 0.495 0.495 W
0.005 0.005 0.005 W
0.250 0.250 0.250 Sb
```

**Total magnetization**: 0.00 μB per cell
**N(E_F)**: 4.4 states/eV/cell
**Uncorrected formation energy**: 0.621 eV per atom
**Volume**: 70.7 Å³/f.u.
**Relative energy among the computed polymorphs**: 178 kJ/mol of formula units

---

# SbW2Se

An optimized crystal structure of SbW2Se (PBE-GGA, Alexandria).

POSCAR file:
```
SbW2Se
1.0
-4.384 0.131 0.028
-0.101 -2.654 -3.491
-2.415 -8.131 3.495
W Se Sb
4 2 2
Direct
0.552 0.125 0.250 W
0.875 0.802 0.750 W
0.198 0.625 0.250 W
0.375 0.448 0.750 W
0.500 0.500 0.000 Se
0.250 0.750 0.500 Se
0.000 0.000 0.000 Sb
0.750 0.250 0.500 Sb
```

**Total magnetization**: 0.00 μB per cell
**N(E_F)**: 9.7 states/eV/cell
**Uncorrected formation energy**: 0.831 eV per atom
**Volume**: 83.1 Å³/f.u.
**Relative energy among the computed polymorphs**: 259 kJ/mol of formula units

---

# SbW2Se

An optimized crystal structure of SbW2Se (PBE-GGA, Alexandria).

POSCAR file:
```
SbW2Se
1.0
-10.013 2.067 0.290
-10.151 -1.091 0.619
-9.696 0.754 3.167
W Sb Se
2 1 1
Direct
0.261 0.261 0.261 W
0.996 0.996 0.996 W
0.522 0.522 0.522 Sb
0.721 0.721 0.721 Se
```

**Total magnetization**: 0.00 μB per cell
**N(E_F)**: 2.8 states/eV/cell
**Uncorrected formation energy**: 0.184 eV per atom
**Volume**: 88.0 Å³/f.u.
**Relative energy among the computed polymorphs**: 9 kJ/mol of formula units

---

# Sb2WSe

An optimized crystal structure of Sb2WSe (PBE-GGA, Alexandria).

POSCAR file:
```
Sb2WSe
1.0
-6.597 2.044 -1.332
-6.030 -0.219 -3.613
-2.750 -2.778 2.073
Se Sb W
1 2 1
Direct
0.750 0.750 0.750 Se
0.572 0.572 0.429 Sb
0.928 0.928 0.071 Sb
0.250 0.250 0.250 W
```

**Total magnetization**: 0.00 μB per cell
**N(E_F)**: 1.9 states/eV/cell
**Uncorrected formation energy**: 0.452 eV per atom
**Volume**: 93.5 Å³/f.u.

---

# SbW2Se

An optimized crystal structure of SbW2Se (PBE-GGA, Alexandria).

POSCAR file:
```
SbW2Se
1.0
-2.862 1.040 -1.069
0.641 -1.230 -2.914
-2.740 -5.692 1.800
Sb W Se
1 2 1
Direct
0.500 0.500 0.250 Sb
0.000 0.000 0.519 W
0.000 0.000 0.981 W
0.500 0.500 0.750 Se
```

**Total magnetization**: 0.00 μB per cell
**N(E_F)**: 4.0 states/eV/cell
**Uncorrected formation energy**: 0.607 eV per atom
**Volume**: 68.4 Å³/f.u.
**Relative energy among the computed polymorphs**: 173 kJ/mol of formula units

---

# SbW2Se

An optimized crystal structure of SbW2Se (PBE-GGA, Alexandria).

POSCAR file:
```
SbW2Se
1.0
-1.894 -2.241 -0.376
2.816 -0.876 0.234
-1.074 -0.775 10.030
Sb W Se
1 2 1
Direct
0.000 0.000 0.458 Sb
0.000 0.000 0.013 W
0.500 0.500 0.221 W
0.500 0.500 0.808 Se
```

**Total magnetization**: 0.00 μB per cell
**N(E_F)**: 3.2 states/eV/cell
**Uncorrected formation energy**: 0.436 eV per atom
**Volume**: 81.3 Å³/f.u.
**Relative energy among the computed polymorphs**: 107 kJ/mol of formula units

---

# Sb2WSe

An optimized crystal structure of Sb2WSe (PBE-GGA, Alexandria).

POSCAR file:
```
Sb2WSe
1.0
3.436 0.000 0.000
0.000 3.436 0.000
0.000 0.000 7.114
Sb W Se
2 1 1
Direct
0.000 0.000 0.973 Sb
0.000 0.000 0.527 Sb
0.500 0.500 0.750 W
0.500 0.500 0.250 Se
```

**Total magnetization**: 0.00 μB per cell
**N(E_F)**: 2.2 states/eV/cell
**Uncorrected formation energy**: 0.401 eV per atom
**Volume**: 84.0 Å³/f.u.

---

# Sb2WSe

An optimized crystal structure of Sb2WSe (PBE-GGA, Alexandria).

POSCAR file:
```
Sb2WSe
1.0
-6.909 1.740 1.587
-6.262 -0.023 -3.750
6.023 -3.066 2.758
W Se Sb
1 1 2
Direct
0.726 0.226 0.500 W
0.584 0.584 0.000 Se
0.274 0.774 0.500 Sb
0.916 0.916 0.000 Sb
```

**Total magnetization**: 0.00 μB per cell
**N(E_F)**: 2.6 states/eV/cell
**Uncorrected formation energy**: 0.324 eV per atom
**Volume**: 101.3 Å³/f.u.

---

# SbWSe4

An optimized crystal structure of SbWSe4 (PBE-GGA, Alexandria).

POSCAR file:
```
SbWSe4
1.0
0.000 3.998 3.998
3.998 0.000 3.998
3.998 3.998 0.000
Se W Sb
4 1 1
Direct
0.377 0.869 0.377 Se
0.377 0.377 0.377 Se
0.377 0.377 0.869 Se
0.869 0.377 0.377 Se
0.750 0.750 0.750 W
0.000 0.000 0.000 Sb
```

**Total magnetization**: 2.64 μB per cell
**N(E_F)**: 5.8 states/eV/cell
**Uncorrected formation energy**: 1.231 eV per atom
**Volume**: 127.8 Å³/f.u.

---

# SbW3Se

An optimized crystal structure of SbW3Se (PBE-GGA, Alexandria).

POSCAR file:
```
SbW3Se
1.0
4.925 0.000 0.000
0.000 4.925 0.000
0.000 0.000 4.925
W Se Sb
3 1 1
Direct
0.000 0.500 0.000 W
0.500 0.000 0.000 W
0.000 0.000 0.500 W
0.500 0.500 0.500 Se
0.000 0.000 0.000 Sb
```

**Total magnetization**: 0.00 μB per cell
**N(E_F)**: 4.7 states/eV/cell
**Uncorrected formation energy**: 2.687 eV per atom
**Volume**: 119.4 Å³/f.u.
**Relative energy among the computed polymorphs**: 511 kJ/mol of formula units

---

# SbW2Se

An optimized crystal structure of SbW2Se (PBE-GGA, Alexandria).

POSCAR file:
```
SbW2Se
1.0
-1.193 0.610 4.510
2.603 -1.941 3.405
2.641 2.723 2.784
W Sb Se
2 1 1
Direct
0.250 0.250 0.250 W
0.000 0.000 0.000 W
0.500 0.500 0.500 Sb
0.750 0.750 0.750 Se
```

**Total magnetization**: 0.00 μB per cell
**N(E_F)**: 3.9 states/eV/cell
**Uncorrected formation energy**: 0.937 eV per atom
**Volume**: 73.6 Å³/f.u.
**Relative energy among the computed polymorphs**: 300 kJ/mol of formula units

---

# SbW2Se

An optimized crystal structure of SbW2Se (PBE-GGA, Alexandria).

POSCAR file:
```
SbW2Se
1.0
-2.997 0.929 3.369
0.039 4.125 2.043
-3.444 2.965 -0.735
W Se Sb
2 1 1
Direct
0.250 0.250 0.250 W
0.750 0.750 0.750 W
0.000 0.000 0.000 Se
0.500 0.500 0.500 Sb
```

**Total magnetization**: 0.00 μB per cell
**N(E_F)**: 5.9 states/eV/cell
**Uncorrected formation energy**: 0.647 eV per atom
**Volume**: 69.0 Å³/f.u.
**Relative energy among the computed polymorphs**: 188 kJ/mol of formula units

---

# Sb3WSe

An optimized crystal structure of Sb3WSe (PBE-GGA, Alexandria).

POSCAR file:
```
Sb3WSe
1.0
5.269 0.000 0.000
0.000 5.269 0.000
0.000 0.000 5.269
Sb Se W
3 1 1
Direct
0.000 0.500 0.000 Sb
0.500 0.000 0.000 Sb
0.000 0.000 0.500 Sb
0.000 0.000 0.000 Se
0.500 0.500 0.500 W
```

**Total magnetization**: 3.14 μB per cell
**N(E_F)**: 2.4 states/eV/cell
**Uncorrected formation energy**: 1.527 eV per atom
**Volume**: 146.3 Å³/f.u.
**Relative energy among the computed polymorphs**: 489 kJ/mol of formula units

---

# SbW2Se

An optimized crystal structure of SbW2Se (PBE-GGA, Alexandria).

POSCAR file:
```
SbW2Se
1.0
3.080 0.000 0.000
0.000 3.080 0.000
0.000 0.000 8.807
W Se Sb
2 1 1
Direct
0.000 0.000 0.005 W
0.500 0.500 0.213 W
0.500 0.500 0.843 Se
0.000 0.000 0.439 Sb
```

**Total magnetization**: 0.00 μB per cell
**N(E_F)**: 3.2 states/eV/cell
**Uncorrected formation energy**: 0.236 eV per atom
**Volume**: 83.5 Å³/f.u.
**Relative energy among the computed polymorphs**: 29 kJ/mol of formula units

---

# Y2SbSe

An optimized crystal structure of Y2SbSe (PBE-GGA, Alexandria).

POSCAR file:
```
Y2SbSe
1.0
-4.259 -2.081 2.233
0.443 -2.720 4.456
-1.848 1.992 4.480
Y Sb Se
2 1 1
Direct
0.250 0.250 0.250 Y
0.000 0.000 0.000 Y
0.500 0.500 0.500 Sb
0.750 0.750 0.750 Se
```

**Total magnetization**: 0.00 μB per cell
**N(E_F)**: 3.4 states/eV/cell
**Uncorrected formation energy**: -0.364 eV per atom
**Volume**: 101.7 Å³/f.u.
**Relative energy among the computed polymorphs**: 428 kJ/mol of formula units

---

# YSb2Se

An optimized crystal structure of YSb2Se (PBE-GGA, Alexandria).

POSCAR file:
```
YSb2Se
1.0
-1.002 -3.655 5.295
-1.924 -1.542 -6.027
1.276 -4.034 -0.857
Sb Se Y
2 1 1
Direct
0.500 0.500 0.000 Sb
0.000 0.000 0.000 Sb
0.500 0.000 0.500 Se
0.000 0.500 0.500 Y
```

**Total magnetization**: 0.00 μB per cell
**N(E_F)**: 1.8 states/eV/cell
**Uncorrected formation energy**: -0.631 eV per atom
**Volume**: 108.7 Å³/f.u.

---

# YSbSe4

An optimized crystal structure of YSbSe4 (PBE-GGA, Alexandria).

POSCAR file:
```
YSbSe4
1.0
3.827 -4.357 0.302
-1.417 -5.255 -2.023
2.492 -2.016 -4.842
Y Se Sb
1 4 1
Direct
0.750 0.750 0.750 Y
0.376 0.376 0.376 Se
0.873 0.376 0.376 Se
0.376 0.873 0.376 Se
0.376 0.376 0.873 Se
0.000 0.000 0.000 Sb
```

**Total magnetization**: 0.00 μB per cell
**N(E_F)**: 5.8 states/eV/cell
**Uncorrected formation energy**: 0.020 eV per atom
**Volume**: 138.4 Å³/f.u.

---

# Y2SbSe

An optimized crystal structure of Y2SbSe (PBE-GGA, Alexandria).

POSCAR file:
```
Y2SbSe
1.0
5.317 -0.006 -0.028
0.107 5.316 0.028
-2.216 -3.162 3.656
Y Se Sb
2 1 1
Direct
0.489 0.489 0.000 Y
0.011 0.011 0.000 Y
0.250 0.750 0.500 Se
0.750 0.250 0.500 Sb
```

**Total magnetization**: 0.00 μB per cell
**N(E_F)**: 2.4 states/eV/cell
**Uncorrected formation energy**: -1.157 eV per atom
**Volume**: 103.5 Å³/f.u.
**Relative energy among the computed polymorphs**: 122 kJ/mol of formula units

---

# Y2SbSe

An optimized crystal structure of Y2SbSe (PBE-GGA, Alexandria).

POSCAR file:
```
Y2SbSe
1.0
-1.098 3.166 -1.471
1.044 -1.762 -3.033
-7.101 -2.833 -0.797
Y Se Sb
2 1 1
Direct
0.000 0.000 0.992 Y
0.000 0.000 0.508 Y
0.500 0.500 0.750 Se
0.500 0.500 0.250 Sb
```

**Total magnetization**: 0.00 μB per cell
**N(E_F)**: 2.8 states/eV/cell
**Uncorrected formation energy**: -1.165 eV per atom
**Volume**: 101.5 Å³/f.u.
**Relative energy among the computed polymorphs**: 119 kJ/mol of formula units

---

# Y2SbSe

An optimized crystal structure of Y2SbSe (PBE-GGA, Alexandria).

POSCAR file:
```
Y2SbSe
1.0
-1.628 3.449 5.279
-2.475 -0.481 6.005
3.983 -0.564 1.596
Y Sb Se
2 1 1
Direct
0.021 0.021 0.125 Y
0.750 0.750 0.625 Y
0.484 0.484 0.625 Sb
0.245 0.245 0.125 Se
```

**Total magnetization**: 0.00 μB per cell
**N(E_F)**: 2.5 states/eV/cell
**Uncorrected formation energy**: -1.303 eV per atom
**Volume**: 109.4 Å³/f.u.
**Relative energy among the computed polymorphs**: 65 kJ/mol of formula units

---

# Y4Sb3Se

An optimized crystal structure of Y4Sb3Se (PBE-GGA, Alexandria).

POSCAR file:
```
Y4Sb3Se
1.0
-2.806 0.810 -3.191
-5.146 -4.184 3.462
-0.587 7.090 2.316
Sb Y Se
3 4 1
Direct
0.000 0.000 0.500 Sb
0.500 0.500 0.500 Sb
0.000 0.500 0.000 Sb
0.500 0.753 0.247 Y
0.500 0.247 0.753 Y
0.000 0.246 0.246 Y
0.000 0.754 0.754 Y
0.500 0.000 0.000 Se
```

**Total magnetization**: 0.00 μB per cell
**N(E_F)**: 1.7 states/eV/cell
**Uncorrected formation energy**: -1.330 eV per atom
**Volume**: 228.3 Å³/f.u.